Material: MnTe2Au
Method: DFT, PBE-GGA
State: optimized geometry

Values from the calculation:
Magnetization (μB/f.u.): 0.00
Crystal system: trigonal
Raw formation energy (eV/f.u.): 1.07
Final energy (eV per atom): -4.414
Energy above the most stable polymorph in this dataset (kJ/mol of atoms): 34.6

Cell: 4.2599 4.2599 20.6643 Å, 90.00 90.00 120.00°
Closest atoms and distances in Å follow each position.
Space group R3m (No. 160, hexagonal axes)
One atom of each set of equivalent atoms:
Mn 0.0000 0.0000 0.0000 (multiplicity 3)  4 Te 2.43-2.52
Te 0.0000 0.0000 0.3595 (multiplicity 3)  3 Mn 2.52, 1 Au 2.72
Te 0.0000 0.0000 0.8825 (multiplicity 3)  1 Mn 2.43
Au 0.0000 0.0000 0.4912 (multiplicity 3)  4 Te 2.72-2.74

=====

Material: NiBiRh2
Method: DFT, PBE-GGA
State: optimized geometry

Values from the calculation:
Magnetization (μB/f.u.): 0.00
Crystal system: tetragonal
Final energy (eV per atom): -5.783
Energy of formation (kJ/mol of formula units): 119.1

Cell: 3.9168 3.9168 18.2722 Å, 90.00 90.00 90.00°
Closest atoms and distances in Å follow each position.
Space group I-42d (No. 122)
One atom of each set of equivalent atoms:
Ni 0.0000 0.0000 0.0000 (multiplicity 4)  4 Rh 2.61, 4 Bi 2.77
Bi 0.0000 0.0000 0.5000 (multiplicity 4)  4 Rh 2.74, 4 Ni 2.77
Rh 0.2063 0.2500 0.1250 (multiplicity 8)  2 Rh 2.54, 2 Ni 2.61, 2 Bi 2.74

=====

Material: NaZnOs2Pt
Method: DFT, PBE-GGA
State: optimized geometry

Values from the calculation:
Magnetization (μB/f.u.): 3.76
Crystal system: tetragonal
Final energy (eV per atom): -3.686
Energy of formation (kJ/mol of formula units): 1221.8

Cell: 4.5384 4.5384 4.5460 Å, 90.00 90.00 90.00°
Closest atoms and distances in Å follow each position.
Space group P4/mmm (No. 123)
One atom of each set of equivalent atoms:
Na 0.0000 0.0000 0.0000 (multiplicity 1)  4 Os 2.27, 2 Pt 2.27
Zn 0.5000 0.5000 0.5000 (multiplicity 1)  4 Pt 3.21, 8 Os 3.21
Os 0.0000 0.5000 0.0000 (multiplicity 2)  2 Na 2.27
Pt 0.0000 0.0000 0.5000 (multiplicity 1)  2 Na 2.27

=====

Q: The lowest final energy belongs to which entry?
A: NiBiRh2

=====

Q: Which formula does entry 1 have?
A: MnTe2Au

=====

Q: Among the records above, which one has the highest magnetization?
A: NaZnOs2Pt